This record from Alexandria describes Cd2HgHPd6 after structural relaxation. The functional is GGA-PBE.

Values from the calculation:
DFT total energy (eV/atom): -3.756
Size of the total moment (μB per formula unit): 0.00

```
data_Cd2HgHPd6
_cell_length_a 5.607
_cell_length_b 5.627
_cell_length_c 7.536
_cell_angle_alpha 68.33
_cell_angle_beta 68.29
_cell_angle_gamma 60.19
_symmetry_space_group_name_H-M 'P -1'
_symmetry_Int_Tables_number 2
_symmetry_space_group_name_Hall '-P 1'
loop_
_atom_site_label
_atom_site_type_symbol
_atom_site_fract_x
_atom_site_fract_y
_atom_site_fract_z
_atom_site_occupancy
Cd1 Cd 0.234 0.231 0.299 1
Hg1 Hg 0.000 0.000 0.000 1
H1 H 0.500 0.500 0.500 1
Pd1 Pd 0.221 0.722 0.331 1
Pd2 Pd 0.275 0.278 0.670 1
Pd3 Pd 0.276 0.781 0.668 1
```